[1]
Compound: Er4Tm5Sb2
Source: the Alexandria database
Functional: PBE
Structure: optimized geometry

The structure belongs to space group C2/m (No. 12); the cell edges are 12.297, 3.858 and 14.048 Å and the angles 90.00°, 106.85° and 90.00°. The distinct sites, in fractional coordinates, are Er at (0.077, 0.000, 0.170), Er at (0.178, 0.000, 0.774), Tm at (0.000, 0.000, 0.500), Tm at (0.131, 0.500, 0.982), Tm at (0.247, 0.000, 0.403) and Sb at (0.031, 0.500, 0.338).

The total energy is -4.777 eV per atom. The value obtained for the uncorrected formation energy is -0.336 eV/atom. For the total magnetic moment, the calculation gives 0.00 μB/f.u. Its calculated volume is 637.8 Å³/cell.

[2]
Compound: HoThCN
Source: the Alexandria database
Functional: PBE
Structure: optimized geometry

The structure belongs to space group P4/mmm (No. 123); the cell edges are 3.640, 3.640 and 5.083 Å and the angles 90.00°, 90.00° and 90.00°. The distinct sites, in fractional coordinates, are Ho at (0.000, 0.000, 0.000), Th at (0.500, 0.500, 0.500), C at (0.500, 0.500, 0.000) and N at (0.000, 0.000, 0.500).

The total energy is -8.349 eV per atom. The value obtained for the uncorrected formation energy is -0.963 eV/atom. For the total magnetic moment, the calculation gives 0.00 μB/f.u. Its calculated volume is 67.4 Å³/cell.

[3]
Compound: TbHf2AlIr4
Source: the Alexandria database
Functional: PBE
Structure: optimized geometry

The structure belongs to space group R-3m (No. 166, hexagonal axes); the cell edges are 4.5246, 4.5246 and 24.1243 Å and the angles 90.00°, 90.00° and 120.00°. The distinct sites, in fractional coordinates, are Tb at (0.0000, 0.0000, 0.0000), Hf at (0.0000, 0.0000, 0.2432), Al at (0.0000, 0.0000, 0.5000), Ir at (0.0000, 0.0000, 0.1305) and Ir at (0.0000, 0.0000, 0.3941).

The total energy is -8.817 eV per atom. For the total magnetic moment, the calculation gives 0.00 μB/f.u. For the energy of formation, the calculation gives -0.852 eV/atom. Its calculated volume is 427.7 Å³/cell.